La2AlTlH: relaxed, PBE-GGA.

volume: 23.28 A^3/atom
offset from the most stable computed form: 0 meV per atom
final energy: -4.189 eV/atom
density: 7.28 g/cm3
SG: P4/mmm

The structure in POSCAR format:
```
La2AlTlH
1.0
5.0993 0.0000 0.0000
0.0000 5.0993 0.0000
0.0000 0.0000 4.4764
La Al Tl H
2 1 1 1
direct
0.0000 0.5000 0.0000
0.5000 0.0000 0.0000
0.0000 0.0000 0.5000
0.5000 0.5000 0.5000
0.0000 0.0000 0.0000
```